[1]
Material: Mg2AuCl
Method: DFT, GGA-PBE
State: relaxed

Output
For the density of states at the Fermi level, the calculation gives 1.371 states/eV/cell. The calculated total energy comes out at -2.78 eV per atom. As for the uncorrected formation energy: -707 meV per atom. For the size of the total moment, the calculation gives 0.0 μB per formula unit. Its energy relative to the lowest polymorph listed for this composition is 144 meV per atom.

Cell lengths 3.3107, 3.3107, 7.3822 Å; angles 90.00, 90.00, 90.02 degrees
Positions (direct):
Au  0.5000  0.5000  0.2500
Cl  0.5000  0.5000  0.7500
Mg  0.0000  0.0000  0.4661
Mg  0.0000  0.0000  0.0339

---

[2]
Material: SmInHgPd
Method: DFT, GGA-PBE
State: relaxed

Output
For the density of states at the Fermi level, the calculation gives 1.600 states/eV/cell. The calculated total energy comes out at -3.80 eV per atom. For the size of the total moment, the calculation gives 0.0 μB per formula unit. The formation enthalpy at 0 K comes out at -217 kJ/mol of formula units.

Cell lengths 5.0126, 5.0126, 5.0126 Å; angles 60.00, 60.00, 60.00 degrees
Positions (direct):
Pd  0.0000  0.0000  0.0000
Sm  0.2500  0.2500  0.2500
In  0.7500  0.7500  0.7500
Hg  0.5000  0.5000  0.5000

---

Q: Among the records above, which one has the lowest calculated total energy?
A: SmInHgPd

---

Q: Which value of size of the total moment does entry 2 give?
A: 0.0 μB per formula unit

---

Repeat the first record exactly.
Material: Mg2AuCl
Method: DFT, GGA-PBE
State: relaxed

Output
For the density of states at the Fermi level, the calculation gives 1.371 states/eV/cell. The calculated total energy comes out at -2.78 eV per atom. As for the uncorrected formation energy: -707 meV per atom. For the size of the total moment, the calculation gives 0.0 μB per formula unit. Its energy relative to the lowest polymorph listed for this composition is 144 meV per atom.

Cell lengths 3.3107, 3.3107, 7.3822 Å; angles 90.00, 90.00, 90.02 degrees
Positions (direct):
Au  0.5000  0.5000  0.2500
Cl  0.5000  0.5000  0.7500
Mg  0.0000  0.0000  0.4661
Mg  0.0000  0.0000  0.0339